Entry 1:
# PBE-GGA TlCdNF2, optimized geometry
data_TlCdNF2
_space_group_name_H-M_alt 'P 1'
_space_group_IT_number 1
_cell_length_a 4.4826
_cell_length_b 4.4826
_cell_length_c 4.3061
_cell_angle_alpha 90.00
_cell_angle_beta 90.00
_cell_angle_gamma 90.00
loop_
_space_group_symop_operation_xyz
'x,y,z'
loop_
_atom_site_label
_atom_site_type_symbol
_atom_site_fract_x
_atom_site_fract_y
_atom_site_fract_z
_atom_site_occupancy
Tl1 Tl 0.0000 0.0000 0.0000 1
Cd1 Cd 0.5000 0.5000 0.5000 1
N1 N 0.0000 0.0000 0.5000 1
F1 F 0.0000 0.5000 0.0000 1
F2 F 0.5000 0.0000 0.0000 1
# - Crystal system: tetragonal
# - Energy relative to the elements, uncorrected: -0.29 eV/atom
# - SG: P4/mmm, No. 123
# - Energy above the most stable polymorph in this dataset: 313 meV/atom



Entry 2:
# PBE-GGA TlCdN2F, optimized geometry
data_TlCdN2F
_space_group_name_H-M_alt 'P 1'
_space_group_IT_number 1
_cell_length_a 4.4032
_cell_length_b 4.4032
_cell_length_c 4.6977
_cell_angle_alpha 90.00
_cell_angle_beta 90.00
_cell_angle_gamma 90.00
loop_
_space_group_symop_operation_xyz
'x,y,z'
loop_
_atom_site_label
_atom_site_type_symbol
_atom_site_fract_x
_atom_site_fract_y
_atom_site_fract_z
_atom_site_occupancy
Tl1 Tl 0.0000 0.0000 0.0000 1
Cd1 Cd 0.5000 0.5000 0.5000 1
N1 N 0.0000 0.5000 0.5000 1
N2 N 0.5000 0.0000 0.5000 1
F1 F 0.5000 0.5000 0.0000 1
# - Crystal system: tetragonal
# - Energy relative to the elements, uncorrected: 0.77 eV/atom
# - SG: P4/mmm, No. 123
# - Energy above the most stable polymorph in this dataset: 0 meV/atom